[1]
Density functional theory data (PBE) for a relaxed structure of LaNdHo14.

Properties
Calculated formation energy (eV/atom): 0.02
Final energy (eV/atom): -4.5887

Unit cell a=7.0996 b=7.0996 c=10.0377 alpha=90.00 beta=90.00 gamma=90.00
Space group P4/mmm (No. 123)
Unique sites:
La: 0.0000 0.0000 0.0000
Nd: 0.5000 0.5000 0.0000
Ho: 0.0000 0.0000 0.5000
Ho: 0.0000 0.5000 0.0000
Ho: 0.0000 0.5000 0.5000
Ho: 0.2505 0.2505 0.2539
Ho: 0.5000 0.5000 0.5000

[2]
Density functional theory data (PBE) for a relaxed structure of La2Nd2Ho15.

Properties
Calculated formation energy (eV/atom): 0.27
Final energy (eV/atom): -4.3645

Unit cell a=11.3838 b=11.3838 c=17.2825 alpha=90.00 beta=90.00 gamma=120.00
Space group R-3m (No. 166, hexagonal axes)
Unique sites:
La: 0.0000 0.0000 0.1600
Nd: 0.0000 0.0000 0.3781
Ho: 0.0000 0.3023 0.5000
Ho: 0.0000 0.5000 0.0000
Ho: 0.0106 0.5053 0.6436

[3]
Density functional theory data (PBE) for a relaxed structure of La4NdHo15.

Properties
Calculated formation energy (eV/atom): 0.03
Final energy (eV/atom): -4.6263

Unit cell a=5.0791 b=5.0791 c=25.1659 alpha=90.00 beta=90.00 gamma=90.00
Space group P4/mmm (No. 123)
Unique sites:
La: 0.0000 0.0000 0.1002
La: 0.0000 0.0000 0.3000
Nd: 0.0000 0.0000 0.5000
Ho: 0.0000 0.5000 0.0000
Ho: 0.0000 0.5000 0.2004
Ho: 0.0000 0.5000 0.4011
Ho: 0.5000 0.5000 0.1001
Ho: 0.5000 0.5000 0.3008
Ho: 0.5000 0.5000 0.5000

[4]
Density functional theory data (PBE) for a relaxed structure of La12NdHo5.

Properties
Calculated formation energy (eV/atom): 0.10
Final energy (eV/atom): -4.7259

Unit cell a=11.5418 b=18.2563 c=6.0566 alpha=90.00 beta=90.00 gamma=90.00
Space group Cmmm (No. 65)
Unique sites:
La: 0.1552 0.1718 0.0000
La: 0.1563 0.0000 0.5000
La: 0.1574 0.3324 0.5000
La: 0.1609 0.5000 0.0000
Nd: 0.0000 0.0000 0.0000
Ho: 0.0000 0.1658 0.5000
Ho: 0.0000 0.3377 0.0000
Ho: 0.0000 0.5000 0.5000

[5]
Density functional theory data (PBE) for a relaxed structure of La4Nd3Ho.

Properties
Energy above the lowest structure with this stoichiometry (eV/atom): 0.0000
Calculated formation energy (eV/atom): 0.20
Final energy (eV/atom): -4.6283

Unit cell a=25.7717 b=3.5374 c=6.3076 alpha=90.00 beta=93.71 gamma=90.00
Space group C2/m (No. 12)
Unique sites:
La: 0.1050 0.0000 0.2306
La: 0.2200 0.5000 0.2441
Nd: 0.0000 0.0000 0.5000
Nd: 0.1435 0.0000 0.7412
Ho: 0.0000 0.5000 0.0000

[6]
Density functional theory data (PBE) for a relaxed structure of LaNd4Ho3.

Properties
Energy above the lowest structure with this stoichiometry (eV/atom): 0.0000
Calculated formation energy (eV/atom): 0.03
Final energy (eV/atom): -4.6848

Unit cell a=11.6900 b=7.3715 c=6.3581 alpha=90.00 beta=90.00 gamma=90.00
Space group Pmn2_1 (No. 31)
Unique sites:
La: 0.0000 0.1252 0.0000
Nd: 0.0000 0.3727 0.5075
Nd: 0.0000 0.6297 0.9978
Nd: 0.2459 0.6260 0.3371
Ho: 0.0000 0.8769 0.5024
Ho: 0.2493 0.1216 0.3351

Number 1: theoretical density 8508 kg/m³. Number 2: theoretical density 7809 kg/m³. Number 3: theoretical density 8118 kg/m³. Number 4: theoretical density 6859 kg/m³. Number 5: theoretical density 6675 kg/m³. Number 6: theoretical density 7338 kg/m³.